Computed, not measured: ZnSbWO6 after structural relaxation at the PBE+U level of DFT.

The calculated volume comes out at 12.23 A^3/atom. Its crystal system is trigonal. The total DFT energy (no corrections) is -6.243 eV per atom.

The space group is P-31c (No. 163) and the conventional cell measures 5.2976, 5.2976 and 9.0562 Å, with angles of 90.00, 90.00 and 120.00 degrees. Symmetry generates all atoms from Zn at (0.0000, 0.0000, 0.0000), Sb at (0.3333, 0.6667, 0.2500), W at (0.3333, 0.6667, 0.7500) and O at (0.0007, 0.3543, 0.1327).